# 1
DFT (PBE) results for a relaxed structure of HgBHS.

Geometry as POSCAR:
```
HgBHS
1.0
3.063 -0.006 0.001
-1.505 4.716 -0.031
-0.025 -2.012 4.934
B S Hg H
1 1 1 1
direct
0.655 0.654 0.909 B
0.150 0.641 0.113 S
0.429 0.202 0.528 Hg
0.747 0.842 0.806 H
```

Calculated values
space group	P1 (1)

# 2
DFT (PBE) results for a relaxed structure of HgBHS.

Geometry as POSCAR:
```
HgBHS
1.0
-3.933 2.457 -0.235
-1.445 -2.412 -1.029
0.035 -2.693 6.262
H B S Hg
1 1 1 1
direct
0.011 0.000 0.581 H
0.845 0.000 0.690 B
0.722 0.500 0.796 S
0.407 0.000 0.273 Hg
```

Calculated values
space group	Pm (6)

# 3
DFT (PBE) results for a relaxed structure of HgBHS.

Geometry as POSCAR:
```
HgBHS
1.0
-4.694 -1.026 3.019
-1.384 -0.961 -2.478
5.558 -9.762 0.681
S B H Hg
2 2 2 2
direct
0.430 0.500 0.484 S
0.430 0.000 0.984 S
0.262 0.000 0.506 B
0.262 0.500 0.006 B
0.087 0.000 0.549 H
0.087 0.500 0.049 H
0.891 0.500 0.783 Hg
0.891 0.000 0.283 Hg
```

Calculated values
space group	Cm (8)

# 4
DFT (PBE) results for a relaxed structure of HgBHS.

Geometry as POSCAR:
```
HgBHS
1.0
-1.958 2.351 0.589
-1.116 -2.855 -0.554
1.792 -0.694 8.538
Hg S H B
1 1 1 1
direct
0.842 0.540 0.508 Hg
0.644 0.164 0.938 S
0.389 0.650 0.170 H
0.342 0.558 0.030 B
```

Calculated values
space group	P1 (1)

# 5
DFT (PBE) results for a relaxed structure of HgBH6Se.

Geometry as POSCAR:
```
HgBH6Se
1.0
7.694 1.615 0.545
5.269 4.779 -1.049
0.330 -0.557 5.448
H B Hg Se
6 1 1 1
direct
0.567 0.801 0.979 H
0.269 0.430 0.822 H
0.099 0.451 0.557 H
0.519 0.219 0.399 H
0.967 0.795 0.636 H
0.087 0.767 0.677 H
0.261 0.430 0.604 B
0.718 0.462 0.378 Hg
0.513 0.646 0.948 Se
```

Calculated values
space group	P1 (1)

# 6
DFT (PBE) results for a relaxed structure of Hg2BHSe.

Geometry as POSCAR:
```
Hg2BHSe
1.0
-3.310 -3.774 0.736
1.547 -1.775 -2.143
2.950 -1.870 3.679
B H Hg Se
1 1 2 1
direct
0.000 0.000 0.000 B
0.000 0.500 0.000 H
0.500 0.000 0.000 Hg
0.000 0.000 0.500 Hg
0.500 0.500 0.500 Se
```

Calculated values
space group	P4/mmm (123)

# 7
DFT (PBE) results for a relaxed structure of TlHg2BH.

Geometry as POSCAR:
```
TlHg2BH
1.0
-4.719 3.169 -0.006
-1.418 -2.108 1.773
1.810 2.704 4.661
B Tl Hg H
1 1 2 1
direct
0.000 0.500 0.000 B
0.500 0.500 0.500 Tl
0.500 0.000 0.000 Hg
0.000 0.000 0.500 Hg
0.000 0.000 0.000 H
```

Calculated values
space group	P4/mmm (123)

# 8
DFT (PBE) results for a relaxed structure of HoBH.

Geometry as POSCAR:
```
HoBH
1.0
3.257 0.000 0.022
0.000 3.633 -0.001
-0.041 -1.818 6.072
B H Ho
2 2 2
direct
0.250 0.977 0.955 B
0.750 0.023 0.045 B
0.750 0.754 0.509 H
0.250 0.246 0.491 H
0.750 0.366 0.731 Ho
0.250 0.634 0.269 Ho
```

Calculated values
space group	P2_1/m (11)

# 9
DFT (PBE) results for a relaxed structure of HoBH.

Geometry as POSCAR:
```
HoBH
1.0
6.814 0.000 0.000
-3.407 3.421 0.000
0.000 0.000 6.609
Ho H B
4 4 4
direct
0.397 0.294 0.250 Ho
0.103 0.706 0.750 Ho
0.603 0.706 0.750 Ho
0.897 0.294 0.250 Ho
0.732 0.463 0.995 H
0.768 0.537 0.495 H
0.232 0.463 0.505 H
0.268 0.537 0.005 H
0.402 0.803 0.424 B
0.598 0.197 0.576 B
0.098 0.197 0.924 B
0.902 0.803 0.076 B
```

Calculated values
space group	Cmce (64)

# 10
DFT (PBE) results for a relaxed structure of HoBH2O4.

Geometry as POSCAR:
```
HoBH2O4
1.0
-2.963 1.271 2.390
-1.503 -2.892 3.044
1.190 1.640 3.973
O H Ho B
4 2 1 1
direct
0.412 0.212 0.485 O
0.108 0.788 0.515 O
0.588 0.515 0.788 O
0.892 0.485 0.212 O
0.153 0.347 0.347 H
0.847 0.653 0.653 H
0.000 0.000 0.000 Ho
0.500 0.500 0.500 B
```

Calculated values
space group	I222 (23)

# 11
DFT (PBE) results for a relaxed structure of Ho2BHPt6.

Geometry as POSCAR:
```
Ho2BHPt6
1.0
6.231 0.006 -0.322
0.009 5.812 0.009
-3.350 -2.901 4.452
Ho Pt B H
2 6 1 1
direct
0.268 0.735 0.468 Ho
0.746 0.251 0.499 Ho
0.753 0.747 0.994 Pt
0.784 0.739 0.476 Pt
0.253 0.250 0.497 Pt
0.753 0.250 0.994 Pt
0.259 0.215 0.951 Pt
0.260 0.737 0.953 Pt
0.008 0.996 0.991 B
0.415 0.585 0.174 H
```

Calculated values
space group	P1 (1)

# 12
DFT (PBE) results for a relaxed structure of RbHoB2H8.

Geometry as POSCAR:
```
RbHoB2H8
1.0
-0.579 -1.380 -3.784
-2.573 -3.080 -0.671
-7.152 3.830 -2.492
B H Rb Ho
2 8 1 1
direct
0.264 0.264 0.207 B
0.736 0.736 0.793 B
0.449 0.949 0.154 H
0.051 0.551 0.846 H
0.551 0.051 0.846 H
0.786 0.786 0.643 H
0.449 0.449 0.154 H
0.551 0.551 0.846 H
0.949 0.449 0.154 H
0.214 0.214 0.357 H
0.500 0.500 0.500 Rb
0.000 0.000 0.000 Ho
```

Calculated values
space group	R-3m (166)

# 13
DFT (PBE) results for a relaxed structure of BH3I6.

Geometry as POSCAR:
```
BH3I6
1.0
-10.437 6.640 8.436
-6.528 -1.671 -6.761
-4.602 -8.319 0.854
B H I
2 6 12
direct
0.546 0.781 0.219 B
0.046 0.219 0.781 B
0.108 0.045 0.171 H
0.108 0.829 0.955 H
0.380 0.431 0.569 H
0.880 0.569 0.431 H
0.608 0.171 0.045 H
0.608 0.955 0.829 H
0.196 0.025 0.280 I
0.313 0.556 0.444 I
0.696 0.975 0.720 I
0.584 0.813 0.417 I
0.472 0.960 0.040 I
0.584 0.583 0.187 I
0.196 0.720 0.975 I
0.084 0.417 0.813 I
0.084 0.187 0.583 I
0.696 0.280 0.025 I
0.813 0.444 0.556 I
0.972 0.040 0.960 I
```

Calculated values
space group	Cmc2_1 (36)

# 14
DFT (PBE) results for a relaxed structure of BH3I6.

Geometry as POSCAR:
```
BH3I6
1.0
9.169 0.000 0.000
0.000 9.488 -0.041
0.000 -2.158 9.239
I H B
12 6 2
direct
0.090 0.104 0.578 I
0.350 0.687 0.641 I
0.590 0.578 0.104 I
0.350 0.359 0.313 I
0.254 0.798 0.202 I
0.590 0.896 0.422 I
0.754 0.202 0.798 I
0.581 0.946 0.054 I
0.090 0.422 0.896 I
0.850 0.641 0.687 I
0.081 0.054 0.946 I
0.850 0.313 0.359 I
0.963 0.215 0.465 H
0.963 0.535 0.785 H
0.349 0.523 0.477 H
0.463 0.465 0.215 H
0.463 0.785 0.535 H
0.849 0.477 0.523 H
0.496 0.807 0.193 B
0.996 0.193 0.807 B
```

Calculated values
space group	Cmc2_1 (36)

# 15
DFT (PBE) results for a relaxed structure of BH4I3.

Geometry as POSCAR:
```
BH4I3
1.0
6.971 0.000 0.000
0.000 5.714 0.000
0.000 0.000 10.641
H I B
8 6 2
direct
0.565 0.628 0.598 H
0.065 0.372 0.098 H
0.065 0.057 0.000 H
0.564 0.210 0.000 H
0.065 0.372 0.902 H
0.064 0.790 0.500 H
0.565 0.628 0.402 H
0.565 0.943 0.500 H
0.564 0.710 0.000 I
0.564 0.210 0.174 I
0.564 0.210 0.826 I
0.064 0.790 0.674 I
0.064 0.790 0.326 I
0.064 0.290 0.500 I
0.565 0.733 0.500 B
0.065 0.267 0.000 B
```

Calculated values
space group	Pmn2_1 (31)

# 16
DFT (PBE) results for a relaxed structure of BH3I3.

Geometry as POSCAR:
```
BH3I3
1.0
4.942 0.000 0.000
0.000 9.049 -0.143
0.000 -4.414 8.513
I H B
6 6 2
direct
0.250 0.143 0.258 I
0.250 0.032 0.721 I
0.750 0.367 0.219 I
0.750 0.857 0.742 I
0.750 0.968 0.279 I
0.250 0.633 0.781 I
0.250 0.559 0.369 H
0.250 0.672 0.225 H
0.750 0.584 0.883 H
0.750 0.441 0.631 H
0.250 0.416 0.117 H
0.750 0.328 0.775 H
0.250 0.546 0.239 B
0.750 0.454 0.761 B
```

Calculated values
space group	P2_1/m (11)

# 17
DFT (PBE) results for a relaxed structure of BH6I.

Geometry as POSCAR:
```
BH6I
1.0
4.600 0.000 0.000
2.300 3.984 0.000
2.300 1.328 5.423
H I B
6 1 1
direct
0.291 0.926 0.856 H
0.926 0.291 0.856 H
0.074 0.074 0.144 H
0.074 0.709 0.144 H
0.709 0.074 0.144 H
0.926 0.926 0.856 H
0.500 0.500 0.500 I
0.000 0.000 0.000 B
```

Calculated values
space group	R-3m (166)

# 18
DFT (PBE) results for a relaxed structure of BH3I.

Geometry as POSCAR:
```
BH3I
1.0
5.145 0.080 2.449
1.579 4.897 2.449
0.108 0.080 5.697
H I B
6 2 2
direct
0.095 0.752 0.754 H
0.752 0.754 0.095 H
0.248 0.246 0.905 H
0.246 0.905 0.248 H
0.905 0.248 0.246 H
0.754 0.095 0.752 H
0.680 0.680 0.680 I
0.320 0.320 0.320 I
0.848 0.848 0.848 B
0.152 0.152 0.152 B
```

Calculated values
space group	R-3m (166)

# 19
DFT (PBE) results for a relaxed structure of B2HI.

Geometry as POSCAR:
```
B2HI
1.0
3.225 0.000 0.000
0.000 3.225 0.000
1.612 1.612 11.383
B I H
4 2 2
direct
0.375 0.125 0.250 B
0.375 0.625 0.750 B
0.875 0.625 0.750 B
0.375 0.625 0.250 B
0.750 0.250 0.500 I
0.000 0.000 0.000 I
0.500 0.500 0.000 H
0.250 0.750 0.500 H
```

Calculated values
space group	I4_1/amd (141)

# 20
DFT (PBE) results for a relaxed structure of BH3I.

Geometry as POSCAR:
```
BH3I
1.0
-5.848 -4.733 -3.352
4.477 -4.151 -1.981
-1.728 -2.024 5.841
I B H
4 4 12
direct
0.750 0.728 0.272 I
0.250 0.881 0.119 I
0.250 0.272 0.728 I
0.750 0.119 0.881 I
0.749 0.453 0.762 B
0.251 0.547 0.238 B
0.751 0.238 0.547 B
0.249 0.762 0.453 B
0.622 0.540 0.835 H
0.126 0.458 0.163 H
0.874 0.542 0.837 H
0.122 0.835 0.540 H
0.749 0.778 0.542 H
0.251 0.222 0.458 H
0.378 0.460 0.165 H
0.374 0.837 0.542 H
0.626 0.163 0.458 H
0.249 0.542 0.778 H
0.751 0.458 0.222 H
0.878 0.165 0.460 H
```

Calculated values
space group	C2/c (15)

| no. | DFT total energy (eV per atom) | calculated density (Mg/m³) |
| --- | --- | --- |
| 1 | -3.7412 | 5.71 |
| 2 | -3.7583 | 4.44 |
| 3 | -3.7591 | 4.35 |
| 4 | -3.8277 | 5.64 |
| 5 | -3.3521 | 3.36 |
| 6 | -2.1352 | 9.97 |
| 7 | -1.7994 | 10.24 |
| 8 | -5.4593 | 8.17 |
| 9 | -5.1395 | 7.62 |
| 10 | -6.8583 | 6.34 |
| 11 | -6.3879 | 16.19 |
| 12 | -4.0616 | 3.98 |
| 13 | -2.5900 | 2.08 |
| 14 | -2.5793 | 3.21 |
| 15 | -2.8592 | 3.10 |
| 16 | -2.8340 | 3.47 |
| 17 | -3.0984 | 2.40 |
| 18 | -3.4765 | 3.32 |
| 19 | -3.3699 | 4.20 |
| 20 | -3.4481 | 2.86 |